(1)
# CsSmSn2Cl8 (GGA-PBE, relaxed)
# Total moment, μB per atom: 0.00
# Volume, A^3/atom: 36.34
# Formation energy from raw total energies, eV per formula unit: -19.0
# DFT total energy, eV/atom: -3.95
data_CsSmSn2Cl8
_chemical_formula_sum 'Cs1 Sm1 Sn2 Cl8'
_cell_length_a 6.995
_cell_length_b 6.514
_cell_length_c 9.643
_cell_angle_alpha 86.91
_cell_angle_beta 84.30
_cell_angle_gamma 87.00
_space_group_name_H-M_alt 'P 1'
_space_group_IT_number 1
_space_group_name_Hall 'P 1'
loop_
_atom_site_label
_atom_site_type_symbol
_atom_site_fract_x
_atom_site_fract_y
_atom_site_fract_z
_atom_site_occupancy
Cs1 Cs 0.000 0.000 0.500 1
Sm1 Sm 0.000 0.000 0.000 1
Sn1 Sn 0.482 0.484 0.758 1
Sn2 Sn 0.518 0.516 0.242 1
Cl1 Cl 0.173 0.772 0.198 1
Cl2 Cl 0.680 0.763 0.040 1
Cl3 Cl 0.861 0.259 0.202 1
Cl4 Cl 0.827 0.228 0.802 1
Cl5 Cl 0.320 0.237 0.960 1
Cl6 Cl 0.139 0.741 0.798 1
Cl7 Cl 0.608 0.732 0.432 1
Cl8 Cl 0.392 0.268 0.568 1

=====

(2)
# Th2GaNi (GGA-PBE, relaxed)
# Energy of formation from the pure elements, eV per atom: -0.33
# Total moment, μB per atom: 0.00
# Volume, A^3/atom: 23.10
# DFT total energy, eV/atom: -6.25
data_Th2GaNi
_chemical_formula_sum 'Th2 Ga1 Ni1'
_cell_length_a 3.450
_cell_length_b 3.450
_cell_length_c 7.763
_cell_angle_alpha 90.00
_cell_angle_beta 90.00
_cell_angle_gamma 90.00
_space_group_name_H-M_alt 'P 1'
_space_group_IT_number 1
_space_group_name_Hall 'P 1'
loop_
_atom_site_label
_atom_site_type_symbol
_atom_site_fract_x
_atom_site_fract_y
_atom_site_fract_z
_atom_site_occupancy
Ni1 Ni 0.500 0.500 0.000 1
Ga1 Ga 0.500 0.500 0.500 1
Th1 Th 0.000 0.000 0.771 1
Th2 Th 0.000 0.000 0.229 1